## SrScBr (PBE-GGA)

Data for an optimized crystal structure of SrScBr.

a = 8.044 Å, b = 7.699 Å, c = 3.677 Å
α = 81.78°, β = 71.32°, γ = 26.90°
Sites, in units of the cell vectors:
Sr: 0.000 0.000 0.000
Sc: 0.687 0.687 0.313
Br: 0.328 0.328 0.672

## Properties
uncorrected formation energy: -12.1 kcal/mol of atoms
excess energy over the best structure of this formula in the dataset: 74 meV/atom
total magnetic moment: 0.00 μB/cell
space group: No. 42

## Cd2AgHg (PBE-GGA)

Data for an optimized crystal structure of Cd2AgHg.

a = 3.244 Å, b = 4.812 Å, c = 5.411 Å
α = 90.00°, β = 90.05°, γ = 90.00°
Sites, in units of the cell vectors:
Cd: 0.000 0.000 0.000
Cd: 0.003 0.500 0.656
Ag: 0.499 0.500 0.145
Hg: 0.503 0.000 0.483

## Properties
total magnetic moment: 0.00 μB/cell
formation energy: 0.01 eV per atom
space group: No. 6

## Be2CrSi (PBE-GGA)

Data for an optimized crystal structure of Be2CrSi.

a = 2.593 Å, b = 3.335 Å, c = 4.785 Å
α = 90.00°, β = 90.00°, γ = 90.00°
Sites, in units of the cell vectors:
Be: 0.000 0.000 0.000
Be: 0.500 0.500 0.225
Cr: 0.000 0.000 0.485
Si: 0.500 0.500 0.731

## Properties
uncorrected formation energy: 0.3 kcal/mol of atoms
total magnetic moment: 0.00 μB/cell
space group: No. 25

## TaCuTe (PBE-GGA)

Data for an optimized crystal structure of TaCuTe.

a = 3.651 Å, b = 3.651 Å, c = 10.216 Å
α = 90.00°, β = 90.00°, γ = 120.00°
Sites, in units of the cell vectors:
Ta: 0.000 0.000 0.000
Ta: 0.333 0.667 0.500
Cu: 0.000 0.000 0.346
Cu: 0.000 0.000 0.654
Te: 0.333 0.667 0.184
Te: 0.333 0.667 0.816

## Properties
uncorrected formation energy: 6.8 kcal/mol of atoms
excess energy over the best structure of this formula in the dataset: 90 meV/atom
total magnetic moment: 0.00 μB/cell
space group: No. 187